First-principles (SCAN) data for a crystal of CaGeSeBr2 relaxed with PBEsol, as listed in Alexandria.

Values from the calculation:
The electronic total energy is -18.11 eV/atom. As for the formation energy from raw total energies: -0.56 eV per atom.

Geometry as CIF:
```
data_CaGeSeBr2
_chemical_formula_sum 'Ca1 Ge1 Se1 Br2'
_cell_length_a 5.266
_cell_length_b 5.266
_cell_length_c 5.664
_cell_angle_alpha 90.00
_cell_angle_beta 90.00
_cell_angle_gamma 90.00
_symmetry_space_group_name_H-M 'P 1'
_symmetry_Int_Tables_number 1
_symmetry_space_group_name_Hall 'P 1'
loop_
_atom_site_label
_atom_site_type_symbol
_atom_site_fract_x
_atom_site_fract_y
_atom_site_fract_z
Ca1 Ca 0.000 0.000 0.000
Ge1 Ge 0.500 0.500 0.500
Se1 Se 0.000 0.000 0.500
Br1 Br 0.000 0.500 0.000
Br2 Br 0.500 0.000 0.000
```